(1)
{"formula": "Ba4InAu", "functional": "PBE-GGA", "state": "relaxed", "e_form_kj_per_mol_atoms": -35, "lattice": [[5.4309, -7.9027, 0.0000], [5.4309, 7.9027, 0.0000], [-4.3522, 0.0000, 6.5071]], "species": ["Ba", "Ba", "Ba", "Ba", "Ba", "Ba", "Ba", "Ba", "In", "In", "Au", "Au"], "frac_coords": [[0.0576, 0.7006, 0.9105], [0.2380, 0.3540, 0.7221], [0.2994, 0.9424, 0.5895], [0.3540, 0.2380, 0.2221], [0.6460, 0.7620, 0.7779], [0.7006, 0.0576, 0.4105], [0.7620, 0.6460, 0.2779], [0.9424, 0.2994, 0.0895], [0.3652, 0.6348, 0.2500], [0.6348, 0.3652, 0.7500], [0.0016, 0.9984, 0.7500], [0.9984, 0.0016, 0.2500]]}

(2)
{"formula": "Ba12InAu6", "functional": "PBE-GGA", "state": "relaxed", "e_form_kj_per_mol_atoms": -48, "lattice": [[-5.8511, 5.8511, 5.8511], [5.8511, -5.8511, 5.8511], [5.8511, 5.8511, -5.8511]], "species": ["Ba", "Ba", "Ba", "Ba", "Ba", "Ba", "Ba", "Ba", "Ba", "Ba", "Ba", "Ba", "In", "Au", "Au", "Au", "Au", "Au", "Au"], "frac_coords": [[0.1241, 0.3020, 0.8221], [0.1779, 0.4799, 0.3020], [0.1779, 0.8759, 0.6980], [0.3020, 0.1779, 0.4799], [0.3020, 0.8221, 0.1241], [0.4799, 0.3020, 0.1779], [0.5201, 0.6980, 0.8221], [0.6980, 0.1779, 0.8759], [0.6980, 0.8221, 0.5201], [0.8221, 0.1241, 0.3020], [0.8221, 0.5201, 0.6980], [0.8759, 0.6980, 0.1779], [0.0000, 0.0000, 0.0000], [0.1259, 0.5000, 0.6259], [0.3741, 0.8741, 0.5000], [0.5000, 0.3741, 0.8741], [0.5000, 0.6259, 0.1259], [0.6259, 0.1259, 0.5000], [0.8741, 0.5000, 0.3741]]}

(3)
{"formula": "BaInAu4", "functional": "PBE-GGA", "state": "relaxed", "e_form_kj_per_mol_atoms": -37, "lattice": [[2.6561, -8.1237, 0.0000], [2.6561, 8.1237, 0.0000], [0.0000, 0.0000, 7.1424]], "species": ["Ba", "Ba", "In", "In", "Au", "Au", "Au", "Au", "Au", "Au", "Au", "Au"], "frac_coords": [[0.1049, 0.8951, 0.7500], [0.8951, 0.1049, 0.2500], [0.3656, 0.6344, 0.7500], [0.6344, 0.3656, 0.2500], [0.0985, 0.9015, 0.2500], [0.2624, 0.7376, 0.0558], [0.2624, 0.7376, 0.4442], [0.5000, 0.5000, 0.0000], [0.5000, 0.5000, 0.5000], [0.7376, 0.2624, 0.5558], [0.7376, 0.2624, 0.9442], [0.9015, 0.0985, 0.7500]]}

(4)
{"formula": "Ba2InAu2", "functional": "PBE-GGA", "state": "relaxed", "e_form_kj_per_mol_atoms": -48, "lattice": [[-3.2357, 3.2357, 4.1842], [3.2357, -3.2357, 4.1842], [3.2357, 3.2357, -4.1842]], "species": ["Ba", "Ba", "In", "Au", "Au"], "frac_coords": [[0.2500, 0.7500, 0.5000], [0.7500, 0.2500, 0.5000], [0.0000, 0.0000, 0.0000], [0.3395, 0.3395, 0.0000], [0.6605, 0.6605, 0.0000]]}

Record-wise total DFT energy (no corrections) values, in eV for the cell shown: -31.79 -54.87 -40.11 -15.64
Record-wise calculated density values, in g/cm³: 5.12 6.10 11.21 7.42